Entry 1:
VASP calculation (GGA-PBE) on a geometry-optimized VReW2 structure.

Values from the calculation:
* energy relative to the elements: -115 meV/atom
* theoretical density: 16.515 g/cm³
* size of the total moment: 0.00 μB/cell

a = 4.409 Å, b = 4.409 Å, c = 3.128 Å
α = 90.00°, β = 90.00°, γ = 90.00°
Space group P4/mmm (No. 123)
Unique sites:
V 0.000 0.000 0.000
Re 0.500 0.500 0.000
W 0.000 0.500 0.500


Entry 2:
VASP calculation (GGA-PBE) on a geometry-optimized VReW2 structure.

Values from the calculation:
* energy relative to the elements: 876 meV/atom
* theoretical density: 15.127 g/cm³
* size of the total moment: 0.00 μB/cell

a = 7.088 Å, b = 7.088 Å, c = 5.286 Å
α = 90.00°, β = 90.00°, γ = 90.00°
Space group I-42d (No. 122)
Unique sites:
V 0.000 0.000 0.000
Re 0.000 0.000 0.500
W 0.246 0.250 0.625


Entry 3:
VASP calculation (GGA-PBE) on a geometry-optimized VReW structure.

Values from the calculation:
* energy relative to the elements: 235 meV/atom
* theoretical density: 15.026 g/cm³
* size of the total moment: 0.00 μB/cell

a = 9.163 Å, b = 2.967 Å, c = 6.845 Å
α = 90.00°, β = 90.00°, γ = 90.00°
Space group Pnma (No. 62)
Unique sites:
V 0.117 0.250 0.024
Re 0.147 0.750 0.725
W 0.101 0.750 0.353